A relaxed structure of Li4AgSn2Ir, computed with GGA-PBE.

The structure in POSCAR format:
```
Li4AgSn2Ir
1.0
-3.182 -3.213 0.371
3.233 -3.149 0.464
-0.101 0.830 6.332
Ag Ir Sn Li
1 1 2 4
Direct
0.000 0.000 0.000
0.500 0.500 0.500
0.500 0.000 0.729
0.000 0.500 0.271
0.500 0.000 0.254
0.500 0.500 0.000
0.000 0.500 0.746
0.000 0.000 0.500
```

Results
E_tot (eV for the cell shown): -30.4
Magnetization (Bohr magnetons per cell): 0.0